Compound: Sc4BeSb
Source: the Alexandria database
Functional: PBE
Structure: optimized geometry

Output
Its space group is F-43m, No. 216.

POSCAR file:
```
Sc4BeSb
1.0
0.000 4.071 4.071
4.071 0.000 4.071
4.071 4.071 0.000
Sc Be Sb
4 1 1
direct
0.125 0.125 0.125
0.125 0.125 0.626
0.125 0.626 0.125
0.626 0.125 0.125
0.750 0.750 0.750
0.500 0.500 0.500
```

---

Compound: ScBe4Sb
Source: the Alexandria database
Functional: PBE
Structure: optimized geometry

Output
Its space group is F-43m, No. 216.

POSCAR file:
```
ScBe4Sb
1.0
0.000 3.431 3.431
3.431 0.000 3.431
3.431 3.431 0.000
Sc Be Sb
1 4 1
direct
0.000 0.000 0.000
0.107 0.631 0.631
0.631 0.107 0.631
0.631 0.631 0.107
0.631 0.631 0.631
0.250 0.250 0.250
```

---

| no. | V (Å³/atom) | VASP energy (eV per atom) |
| --- | --- | --- |
| 1 | 22.49 | -5.176 |
| 2 | 13.46 | -4.004 |